KPmF4: relaxed, GGA-PBE.

The structure in extended XYZ format:
```
6
Lattice="-1.344 3.655 -0.187 -0.294 0.091 3.887 5.622 2.086 0.377" Properties=species:S:1:pos:R:3 pbc="T T T"
F 1.070 0.497 2.025
F 3.733 3.462 0.202
Pm -0.819 1.873 1.850
F 4.258 1.680 2.239
F 0.545 2.279 -0.012
K 2.811 1.043 0.188
```

Results
Theoretical density in Mg/m³: 4.73
Final energy in eV per atom: -5.896